1.
# Sm2GeBPd6, optimized geometry, DFT GGA-PBE
data_Sm2GeBPd6
_space_group_name_H-M_alt 'P m m n'
_space_group_IT_number 59
_cell_length_a 5.7579
_cell_length_b 8.7222
_cell_length_c 7.2289
_cell_angle_alpha 90.00
_cell_angle_beta 90.00
_cell_angle_gamma 90.00
loop_
_space_group_symop_operation_xyz
'x,y,z'
'-x,-y,-z'
'-x+1/2,-y+1/2,z'
'x+1/2,y+1/2,-z'
'x+1/2,-y,-z'
'-x+1/2,y,z'
'-x,y+1/2,-z'
'x,-y+1/2,z'
loop_
_atom_site_label
_atom_site_fract_x
_atom_site_fract_y
_atom_site_fract_z
Sm1 0.2500 0.0334 0.2174
Ge1 0.2500 0.7500 0.8198
B1 0.2500 0.2500 0.6883
Pd1 0.0037 0.2500 0.9010
Pd2 0.0114 0.7500 0.5111
Pd3 0.2500 0.0083 0.6571
# N(E_F) (states/eV/f.u.): 4.77
# ΔE_f (eV per atom): -0.705
# Magnetization (Bohr magnetons per cell): 0.00

---

2.
# ScTi3Pt, optimized geometry, DFT GGA-PBE
data_ScTi3Pt
_space_group_name_H-M_alt 'P m -3 m'
_space_group_IT_number 221
_space_group_name_Hall '-P 4 2 3'
_cell_length_a 4.8302
_cell_length_b 4.8302
_cell_length_c 4.8302
_cell_angle_alpha 90.00
_cell_angle_beta 90.00
_cell_angle_gamma 90.00
loop_
_atom_site_label
_atom_site_fract_x
_atom_site_fract_y
_atom_site_fract_z
Sc1 0.0000 0.0000 0.0000
Ti1 0.0000 0.5000 0.5000
Pt1 0.5000 0.5000 0.5000
# N(E_F) (states/eV/f.u.): 15.14
# ΔE_f (eV per atom): 0.229
# Energy above the lowest structure with this stoichiometry (eV per atom): 0.000
# Magnetization (Bohr magnetons per cell): 0.00

---

3.
# SiSnP3, optimized geometry, DFT GGA-PBE
data_SiSnP3
_space_group_name_H-M_alt 'P n m a'
_space_group_IT_number 62
_cell_length_a 6.3627
_cell_length_b 10.3310
_cell_length_c 6.6054
_cell_angle_alpha 90.00
_cell_angle_beta 90.00
_cell_angle_gamma 90.00
loop_
_space_group_symop_operation_xyz
'x,y,z'
'-x,-y,-z'
'-x+1/2,-y,z+1/2'
'x+1/2,y,-z+1/2'
'x+1/2,-y+1/2,-z+1/2'
'-x+1/2,y+1/2,z+1/2'
'-x,y+1/2,-z'
'x,-y+1/2,z'
loop_
_atom_site_label
_atom_site_fract_x
_atom_site_fract_y
_atom_site_fract_z
Si1 0.0175 0.2500 0.0855
Sn1 0.0000 0.0000 0.5000
P1 0.0878 0.5703 0.0885
P2 0.1202 0.7500 0.5978
# N(E_F) (states/eV/f.u.): 1.61
# Energy above the lowest structure with this stoichiometry (eV per atom): 0.000
# Magnetization (Bohr magnetons per cell): 0.00

---

What did the first record say?
# Sm2GeBPd6, optimized geometry, DFT GGA-PBE
data_Sm2GeBPd6
_space_group_name_H-M_alt 'P m m n'
_space_group_IT_number 59
_cell_length_a 5.7579
_cell_length_b 8.7222
_cell_length_c 7.2289
_cell_angle_alpha 90.00
_cell_angle_beta 90.00
_cell_angle_gamma 90.00
loop_
_space_group_symop_operation_xyz
'x,y,z'
'-x,-y,-z'
'-x+1/2,-y+1/2,z'
'x+1/2,y+1/2,-z'
'x+1/2,-y,-z'
'-x+1/2,y,z'
'-x,y+1/2,-z'
'x,-y+1/2,z'
loop_
_atom_site_label
_atom_site_fract_x
_atom_site_fract_y
_atom_site_fract_z
Sm1 0.2500 0.0334 0.2174
Ge1 0.2500 0.7500 0.8198
B1 0.2500 0.2500 0.6883
Pd1 0.0037 0.2500 0.9010
Pd2 0.0114 0.7500 0.5111
Pd3 0.2500 0.0083 0.6571
# N(E_F) (states/eV/f.u.): 4.77
# ΔE_f (eV per atom): -0.705
# Magnetization (Bohr magnetons per cell): 0.00

---

Q: The lowest N(E_F) belongs to which entry?
A: SiSnP3

---

Copy entry 3 word for word.
# SiSnP3, optimized geometry, DFT GGA-PBE
data_SiSnP3
_space_group_name_H-M_alt 'P n m a'
_space_group_IT_number 62
_cell_length_a 6.3627
_cell_length_b 10.3310
_cell_length_c 6.6054
_cell_angle_alpha 90.00
_cell_angle_beta 90.00
_cell_angle_gamma 90.00
loop_
_space_group_symop_operation_xyz
'x,y,z'
'-x,-y,-z'
'-x+1/2,-y,z+1/2'
'x+1/2,y,-z+1/2'
'x+1/2,-y+1/2,-z+1/2'
'-x+1/2,y+1/2,z+1/2'
'-x,y+1/2,-z'
'x,-y+1/2,z'
loop_
_atom_site_label
_atom_site_fract_x
_atom_site_fract_y
_atom_site_fract_z
Si1 0.0175 0.2500 0.0855
Sn1 0.0000 0.0000 0.5000
P1 0.0878 0.5703 0.0885
P2 0.1202 0.7500 0.5978
# N(E_F) (states/eV/f.u.): 1.61
# Energy above the lowest structure with this stoichiometry (eV per atom): 0.000
# Magnetization (Bohr magnetons per cell): 0.00